[1]
Density functional theory data (GGA-PBE) for a relaxed structure of MgCr2Ru. Values from VASP.

Cell and atoms, written as Quantum ESPRESSO input:
```
&SYSTEM
  ibrav = 0, nat = 4, ntyp = 3
/
ATOMIC_SPECIES
Mg 24.30 Mg.upf
Cr 52.00 Cr.upf
Ru 101.07 Ru.upf
CELL_PARAMETERS angstrom
2.6814 0.0000 0.0000
0.0000 4.0097 0.0000
-1.0453 0.0000 5.0484
ATOMIC_POSITIONS angstrom
Mg 0.0000 0.0000 0.0000
Cr 0.0207 2.0049 3.7091
Cr 0.7075 0.0000 2.5742
Ru 1.5899 2.0049 1.3398
```

Output
Energy in eV per atom: -7.217
ΔE_f in eV per atom: 0.31
Density of states at the Fermi level in states/eV/f.u.: 5.31

[2]
Density functional theory data (GGA-PBE) for a relaxed structure of MgCrRu2. Values from VASP.

Cell and atoms, written as Quantum ESPRESSO input:
```
&SYSTEM
  ibrav = 0, nat = 4, ntyp = 3
/
ATOMIC_SPECIES
Mg 24.30 Mg.upf
Cr 52.00 Cr.upf
Ru 101.07 Ru.upf
CELL_PARAMETERS angstrom
4.2619 0.0000 0.0000
0.0000 4.2619 0.0000
0.0000 0.0000 3.0252
ATOMIC_POSITIONS angstrom
Mg 0.0000 0.0000 0.0000
Cr 2.1310 2.1310 0.0000
Ru 0.0000 2.1310 1.5126
Ru 2.1310 0.0000 1.5126
```

Output
Energy in eV per atom: -7.314
ΔE_f in eV per atom: 0.13
Density of states at the Fermi level in states/eV/f.u.: 3.21

[3]
Density functional theory data (GGA-PBE) for a relaxed structure of MgCrRu2. Values from VASP.

Cell and atoms, written as Quantum ESPRESSO input:
```
&SYSTEM
  ibrav = 0, nat = 4, ntyp = 3
/
ATOMIC_SPECIES
Mg 24.30 Mg.upf
Cr 52.00 Cr.upf
Ru 101.07 Ru.upf
CELL_PARAMETERS angstrom
1.4277 -2.2533 0.0000
1.4277 2.2533 0.0000
0.0000 0.0000 8.9699
ATOMIC_POSITIONS angstrom
Mg 0.0000 0.0000 0.0000
Cr 1.4277 0.0000 6.6238
Ru 0.0000 0.0000 4.6050
Ru 1.4277 0.0000 2.2968
```

Output
Energy in eV per atom: -7.034
ΔE_f in eV per atom: 0.41
Density of states at the Fermi level in states/eV/f.u.: 6.38

Question: Look up the energy of the first one.
Answer: -7.217 eV per atom

Question: Among the records above, which one has the lowest density of states at the Fermi level?
Answer: number 2

Question: Among the records above, which one has the highest density of states at the Fermi level?
Answer: number 3

Question: Among the records above, which one has the lowest density of states at the Fermi level?
Answer: number 2